Record 1
Material: SnAsF2
Method: DFT, PBE-GGA
State: relaxed

energy relative to the lowest polymorph listed for this composition: 0.0 meV per atom
E: -51.65 eV per cell
D(E_F): 4.9 states/eV/cell
ΔE_f (raw): -1.21 eV per atom

a = 3.1383 Å, b = 3.1383 Å, c = 24.8076 Å
α = 90.00°, β = 90.00°, γ = 120.00°
Space group R-3m (No. 166, hexagonal axes)
Asymmetric unit:
Sn  0.0000  0.0000  0.0000 [3 per cell]
As  0.0000  0.0000  0.5000 [3 per cell]
F  0.0000  0.0000  0.4177 [6 per cell]

---

Record 2
Material: SnAsF2
Method: DFT, PBE-GGA
State: relaxed

energy relative to the lowest polymorph listed for this composition: 220.9 meV per atom
E: -65.34 eV per cell
D(E_F): 10.9 states/eV/cell
ΔE_f (raw): -0.98 eV per atom

a = 7.393 Å, b = 7.393 Å, c = 5.649 Å
α = 90.00°, β = 90.00°, γ = 90.00°
Space group I-42d (No. 122)
Asymmetric unit:
Sn  0.000  0.000  0.000 [4 per cell]
As  0.000  0.000  0.500 [4 per cell]
F  0.153  0.250  0.125 [8 per cell]

---

Record 3
Material: Sn2AsF
Method: DFT, PBE-GGA
State: relaxed

energy relative to the lowest polymorph listed for this composition: 19.8 meV per atom
E: -68.22 eV per cell
D(E_F): 1.7 states/eV/cell
ΔE_f (raw): -0.63 eV per atom

a = 5.180 Å, b = 5.180 Å, c = 15.249 Å
α = 90.00°, β = 90.00°, γ = 90.00°
Space group I-42d (No. 122)
Asymmetric unit:
Sn  0.179  0.250  0.125 [8 per cell]
As  0.000  0.000  0.500 [4 per cell]
F  0.000  0.000  0.000 [4 per cell]

---

Record 4
Material: SnAs3F
Method: DFT, PBE-GGA
State: relaxed

energy relative to the lowest polymorph listed for this composition: 612.4 meV per atom
E: -15.92 eV per cell
D(E_F): 2.6 states/eV/cell
ΔE_f (raw): 0.78 eV per atom

a = 5.260 Å, b = 5.260 Å, c = 5.260 Å
α = 90.00°, β = 90.00°, γ = 90.00°
Space group Pm-3m (No. 221)
Asymmetric unit:
Sn  0.000  0.000  0.000 [1 per cell]
As  0.000  0.000  0.500 [3 per cell]
F  0.500  0.500  0.500 [1 per cell]

---

Record 5
Material: Sn2AsF
Method: DFT, PBE-GGA
State: relaxed

energy relative to the lowest polymorph listed for this composition: 0.0 meV per atom
E: -68.53 eV per cell
D(E_F): 4.4 states/eV/cell
ΔE_f (raw): -0.65 eV per atom

a = 6.967 Å, b = 6.967 Å, c = 6.967 Å
α = 90.00°, β = 90.00°, γ = 90.00°
Space group Fm-3m (No. 225)
Asymmetric unit:
Sn  0.250  0.250  0.250 [8 per cell]
As  0.000  0.000  0.000 [4 per cell]
F  0.000  0.000  0.500 [4 per cell]

---

Record 6
Material: TlSnAs2F
Method: DFT, PBE-GGA
State: relaxed

E: -17.46 eV per cell
D(E_F): 3.4 states/eV/cell
ΔE_f (raw): 0.02 eV per atom

a = 5.366 Å, b = 5.366 Å, c = 4.456 Å
α = 90.00°, β = 90.00°, γ = 90.00°
Space group P4/mmm (No. 123)
Asymmetric unit:
Tl  0.000  0.000  0.000 [1 per cell]
Sn  0.500  0.500  0.500 [1 per cell]
As  0.000  0.500  0.000 [2 per cell]
F  0.000  0.000  0.500 [1 per cell]